Record 1
# HoEr2Tm (PBE-GGA, optimized geometry)
data_HoEr2Tm
_space_group_name_H-M_alt 'P 4/m m m'
_space_group_IT_number 123
_space_group_name_Hall '-P 4 2'
_cell_length_a 3.497
_cell_length_b 3.497
_cell_length_c 9.901
_cell_angle_alpha 90.00
_cell_angle_beta 90.00
_cell_angle_gamma 90.00
loop_
_atom_site_label
_atom_site_fract_x
_atom_site_fract_y
_atom_site_fract_z
Ho1 0.000 0.000 0.000
Er1 0.500 0.500 0.251
Tm1 0.000 0.000 0.500
# Energy of formation, eV per atom: 0.0243

***

Record 2
# Ag2HPdPt (PBE-GGA, optimized geometry)
data_Ag2HPdPt
_space_group_name_H-M_alt 'P 4/m m m'
_space_group_IT_number 123
_space_group_name_Hall '-P 4 2'
_cell_length_a 4.411
_cell_length_b 4.411
_cell_length_c 3.597
_cell_angle_alpha 90.00
_cell_angle_beta 90.00
_cell_angle_gamma 90.00
loop_
_atom_site_label
_atom_site_fract_x
_atom_site_fract_y
_atom_site_fract_z
Ag1 0.000 0.500 0.000
H1 0.000 0.000 0.000
Pd1 0.500 0.500 0.500
Pt1 0.000 0.000 0.500
# Uncorrected energy, eV per atom: -4.00

***

The records above give, respectively, total moment values of 0.000 0.000 μB/f.u..